Entry 1:
Below is a relaxed Ho2ErRu crystal, with properties calculated at the GGA-PBE level.

Computed properties:
polymorph energy (0 for the lowest one)	19	meV per atom
ΔE_f	-328	meV/atom
space-group type	No. 63
density of states at the Fermi level	3.1	states/eV/f.u.
calculated total energy	-48.6	eV per cell

Cell and atoms, written as CIF:
```
data_Ho2ErRu
_chemical_formula_sum 'Ho4 Er2 Ru2'
_cell_length_a 3.908
_cell_length_b 6.205
_cell_length_c 9.019
_cell_angle_alpha 90.00
_cell_angle_beta 90.00
_cell_angle_gamma 108.33
_space_group_name_H-M_alt 'P 1'
_space_group_IT_number 1
loop_
_space_group_symop_operation_xyz
'x,y,z'
loop_
_atom_site_label
_atom_site_fract_x
_atom_site_fract_y
_atom_site_fract_z
Ru1 0.758 0.516 0.250
Ru2 0.242 0.484 0.750
Ho1 0.143 0.285 0.433
Ho2 0.857 0.715 0.567
Ho3 0.857 0.715 0.933
Ho4 0.143 0.285 0.067
Er1 0.575 0.151 0.750
Er2 0.425 0.849 0.250
```

---

Entry 2:
Below is a relaxed NiPbBr2 crystal, with properties calculated at the GGA-PBE level.

Computed properties:
polymorph energy (0 for the lowest one)	214	meV per atom
space-group type	No. 44
density of states at the Fermi level	1.9	states/eV/f.u.
formation energy from raw total energies	-0.5	eV/f.u.
calculated total energy	-13.3	eV per cell

Cell and atoms, written as CIF:
```
data_NiPbBr2
_chemical_formula_sum 'Ni1 Pb1 Br2'
_cell_length_a 8.315
_cell_length_b 8.315
_cell_length_c 8.315
_cell_angle_alpha 155.41
_cell_angle_beta 152.23
_cell_angle_gamma 37.43
_space_group_name_H-M_alt 'P 1'
_space_group_IT_number 1
loop_
_space_group_symop_operation_xyz
'x,y,z'
loop_
_atom_site_label
_atom_site_fract_x
_atom_site_fract_y
_atom_site_fract_z
Pb1 0.673 0.173 0.500
Br1 0.014 0.014 0.000
Br2 0.280 0.780 0.500
Ni1 0.533 0.533 0.000
```

---

Entry 3:
Below is a relaxed NaReRh2 crystal, with properties calculated at the GGA-PBE level.

Computed properties:
polymorph energy (0 for the lowest one)	0	meV per atom
ΔE_f	470	meV/atom
space-group type	No. 225
density of states at the Fermi level	3.0	states/eV/f.u.
calculated total energy	-26.6	eV per cell

Cell and atoms, written as CIF:
```
data_NaReRh2
_chemical_formula_sum 'Na1 Re1 Rh2'
_cell_length_a 4.397
_cell_length_b 4.397
_cell_length_c 4.397
_cell_angle_alpha 60.00
_cell_angle_beta 60.00
_cell_angle_gamma 60.00
_space_group_name_H-M_alt 'P 1'
_space_group_IT_number 1
loop_
_space_group_symop_operation_xyz
'x,y,z'
loop_
_atom_site_label
_atom_site_fract_x
_atom_site_fract_y
_atom_site_fract_z
Rh1 0.750 0.750 0.750
Rh2 0.250 0.250 0.250
Na1 0.000 0.000 0.000
Re1 0.500 0.500 0.500
```

---

Question: The lowest density of states at the Fermi level belongs to which entry?
Answer: NiPbBr2